1) ## TaIn3Ru (PBE-GGA)

Data for crystalline TaIn3Ru at its relaxed geometry. Values from VASP.

The structure in Quantum ESPRESSO input format:
```
&SYSTEM
  ibrav = 0, nat = 5, ntyp = 3
/
ATOMIC_SPECIES
Ru 101.07 Ru.upf
In 114.82 In.upf
Ta 180.95 Ta.upf
ATOMIC_POSITIONS crystal
Ru 0.500 0.500 0.500
In 0.000 0.500 0.000
In 0.000 0.000 0.500
In 0.500 0.000 0.000
Ta 0.000 0.000 0.000
CELL_PARAMETERS angstrom
5.311 0.000 0.000
0.000 5.311 0.000
0.000 0.000 5.311
```

- N(E_F): 7.616 states/eV per cell
- Space group: Pm-3m, No. 221
- Calculated volume: 150 Å³ per cell

***

2) ## TaIn3Ru (PBE-GGA)

Data for crystalline TaIn3Ru at its relaxed geometry. Values from VASP.

The structure in Quantum ESPRESSO input format:
```
&SYSTEM
  ibrav = 0, nat = 5, ntyp = 3
/
ATOMIC_SPECIES
Ru 101.07 Ru.upf
In 114.82 In.upf
Ta 180.95 Ta.upf
ATOMIC_POSITIONS crystal
Ru 0.000 0.000 0.000
In 0.000 0.500 0.000
In 0.000 0.000 0.500
In 0.500 0.000 0.000
Ta 0.500 0.500 0.500
CELL_PARAMETERS angstrom
5.019 0.000 0.000
0.000 5.019 0.000
0.000 0.000 5.019
```

- N(E_F): 3.945 states/eV per cell
- Space group: Pm-3m, No. 221
- Calculated volume: 126 Å³ per cell

***

Most stable: 2). Least stable: 1).

***

1) ## Tb4InRu2 (PBE-GGA)

Data for crystalline Tb4InRu2 at its relaxed geometry. Values from VASP.

The structure in Quantum ESPRESSO input format:
```
&SYSTEM
  ibrav = 0, nat = 14, ntyp = 3
/
ATOMIC_SPECIES
Tb 158.93 Tb.upf
In 114.82 In.upf
Ru 101.07 Ru.upf
ATOMIC_POSITIONS crystal
Tb 0.167 0.833 0.878
Tb 0.167 0.833 0.622
Tb 0.833 0.167 0.122
Tb 0.833 0.167 0.378
Tb 0.166 0.834 0.250
Tb 0.834 0.166 0.750
Tb 0.500 0.500 0.000
Tb 0.500 0.500 0.500
In 0.499 0.501 0.250
In 0.501 0.499 0.750
Ru 0.834 0.166 0.561
Ru 0.166 0.834 0.061
Ru 0.834 0.166 0.939
Ru 0.166 0.834 0.439
CELL_PARAMETERS angstrom
-2.647 -0.951 4.274
5.113 -0.178 0.061
0.460 14.405 3.490
```

- N(E_F): 10.590 states/eV per cell
- Space group: Cmcm, No. 63
- Calculated volume: 336 Å³ per cell

***

2) ## Tb4InRu2 (PBE-GGA)

Data for crystalline Tb4InRu2 at its relaxed geometry. Values from VASP.

The structure in Quantum ESPRESSO input format:
```
&SYSTEM
  ibrav = 0, nat = 14, ntyp = 3
/
ATOMIC_SPECIES
Tb 158.93 Tb.upf
In 114.82 In.upf
Ru 101.07 Ru.upf
ATOMIC_POSITIONS crystal
Tb 0.876 0.278 0.200
Tb 0.443 0.534 0.437
Tb 0.896 0.608 0.697
Tb 0.709 0.077 0.649
Tb 0.417 0.978 0.089
Tb 0.152 0.109 0.594
Tb 0.453 0.552 0.938
Tb 0.888 0.732 0.169
In 0.270 0.783 0.537
In 0.138 0.170 0.053
Ru 0.588 0.327 0.815
Ru 0.726 0.858 0.343
Ru 0.622 0.356 0.314
Ru 0.071 0.390 0.666
CELL_PARAMETERS angstrom
8.663 -1.535 -0.188
-2.324 6.861 1.866
-2.910 -1.461 5.816
```

- N(E_F): 10.821 states/eV per cell
- Space group: P1, No. 1
- Calculated volume: 353 Å³ per cell

***

Most stable: 1). Least stable: 2).

***

1) ## Tb5In2Ru (PBE-GGA)

Data for crystalline Tb5In2Ru at its relaxed geometry. Values from VASP.

The structure in Quantum ESPRESSO input format:
```
&SYSTEM
  ibrav = 0, nat = 16, ntyp = 3
/
ATOMIC_SPECIES
Tb 158.93 Tb.upf
In 114.82 In.upf
Ru 101.07 Ru.upf
ATOMIC_POSITIONS crystal
Tb 0.000 0.000 0.500
Tb 0.000 0.500 0.000
Tb 0.000 0.868 0.206
Tb 0.000 0.132 0.794
Tb 0.000 0.632 0.706
Tb 0.000 0.368 0.294
Tb 0.500 0.681 0.424
Tb 0.500 0.319 0.576
Tb 0.500 0.819 0.924
Tb 0.500 0.181 0.076
In 0.500 0.585 0.165
In 0.500 0.415 0.835
In 0.500 0.915 0.665
In 0.500 0.085 0.335
Ru 0.000 0.500 0.500
Ru 0.000 0.000 0.000
CELL_PARAMETERS angstrom
4.788 0.000 0.000
0.000 7.469 0.000
0.000 0.000 12.274
```

- N(E_F): 15.009 states/eV per cell
- Space group: Pbam, No. 55
- Calculated volume: 439 Å³ per cell

***

2) ## Tb5In2Ru (PBE-GGA)

Data for crystalline Tb5In2Ru at its relaxed geometry. Values from VASP.

The structure in Quantum ESPRESSO input format:
```
&SYSTEM
  ibrav = 0, nat = 8, ntyp = 3
/
ATOMIC_SPECIES
Tb 158.93 Tb.upf
In 114.82 In.upf
Ru 101.07 Ru.upf
ATOMIC_POSITIONS crystal
Tb 0.733 0.243 0.976
Tb 0.243 0.243 0.977
Tb 0.734 0.734 0.977
Tb 0.243 0.733 0.976
Tb 0.763 0.763 0.526
In 0.231 0.731 0.463
In 0.731 0.231 0.463
Ru 0.098 0.098 0.195
CELL_PARAMETERS angstrom
-4.373 2.257 -5.096
-3.339 -6.247 0.091
1.064 3.532 5.578
```

- N(E_F): 5.253 states/eV per cell
- Space group: I4mm, No. 107
- Calculated volume: 222 Å³ per cell

***

Most stable: 1). Least stable: 2).